AlNi4 | PBE-GGA | optimized geometry

Cell and atoms, written as CIF:
```
data_AlNi4
_chemical_formula_sum 'Al2 Ni8'
_cell_length_a 5.2381
_cell_length_b 5.2381
_cell_length_c 5.2381
_cell_angle_alpha 90.00
_cell_angle_beta 90.00
_cell_angle_gamma 90.00
_space_group_name_H-M_alt 'I m -3 m'
_space_group_IT_number 229
_space_group_name_Hall '-I 4 2 3'
loop_
_atom_site_label
_atom_site_type_symbol
_atom_site_fract_x
_atom_site_fract_y
_atom_site_fract_z
_atom_site_occupancy
Al1 Al 0.0000 0.0000 0.0000 1
Ni1 Ni 0.2500 0.2500 0.2500 1
```

Computed properties:
E_form ... 0.553 eV per atom

---

HoZrAu | PBE-GGA | optimized geometry

Cell and atoms, written as CIF:
```
data_HoZrAu
_chemical_formula_sum 'Ho1 Zr1 Au1'
_cell_length_a 4.7912
_cell_length_b 4.7912
_cell_length_c 3.6357
_cell_angle_alpha 90.00
_cell_angle_beta 90.00
_cell_angle_gamma 120.00
_space_group_name_H-M_alt 'P 3 m 1'
_space_group_IT_number 156
_space_group_name_Hall 'P 3 -2"'
loop_
_atom_site_label
_atom_site_type_symbol
_atom_site_fract_x
_atom_site_fract_y
_atom_site_fract_z
_atom_site_occupancy
Ho1 Ho 0.0000 0.0000 0.0000 1
Zr1 Zr 0.3333 0.6667 0.4690 1
Au1 Au 0.6667 0.3333 0.5926 1
```

Computed properties:
E_form ... -0.236 eV per atom
Excess energy over the best structure of this formula in the dataset ... 236 meV per atom

---

ZrSc2HPd | PBE-GGA | optimized geometry

Cell and atoms, written as CIF:
```
data_ZrSc2HPd
_chemical_formula_sum 'Zr1 Sc2 H1 Pd1'
_cell_length_a 4.5300
_cell_length_b 4.5300
_cell_length_c 4.0814
_cell_angle_alpha 90.00
_cell_angle_beta 90.00
_cell_angle_gamma 90.00
_space_group_name_H-M_alt 'P 4/m m m'
_space_group_IT_number 123
_space_group_name_Hall '-P 4 2'
loop_
_atom_site_label
_atom_site_type_symbol
_atom_site_fract_x
_atom_site_fract_y
_atom_site_fract_z
_atom_site_occupancy
Zr1 Zr 0.0000 0.0000 0.0000 1
Sc1 Sc 0.0000 0.5000 0.5000 1
H1 H 0.0000 0.0000 0.5000 1
Pd1 Pd 0.5000 0.5000 0.0000 1
```

---

| no. | D(E_F) (states/eV/cell) | final energy (eV/atom) |
| --- | --- | --- |
| 1 | 19.38 | -4.82 |
| 2 | 3.48 | -5.70 |
| 3 | 6.13 | -6.32 |